Density functional theory data (PBE) for a relaxed Pm2Co3C2 crystal.

Cell lengths 9.7305, 3.4720, 6.3698 Å; angles 90.00, 114.69, 90.00 degrees
Closest atoms and distances in Å follow each position.
Space group C2/m (No. 12)
Symmetry-distinct sites (fractional):
1 Pm 0.1191 0.0000 0.2849  4 C 2.74-2.91, 5 Co 2.75-3.05
2 Co 0.0000 0.5000 0.5000  2 Co 2.39, 4 C 2.54
3 Co 0.1642 0.5000 0.9037  3 C 1.95-2.00
4 C 0.1763 0.0000 0.7715  3 Co 1.95-2.00

energy of formation from the pure elements: 0.10 eV/atom

Density functional theory data (PBE) for a relaxed Dy3Ho2Tm6Zr crystal.

Cell lengths 6.0303, 10.4291, 11.5083 Å; angles 90.00, 100.01, 90.00 degrees
Closest atoms and distances in Å follow each position.
Space group C2/m (No. 12)
Symmetry-distinct sites (fractional):
1 Dy 0.0000 0.0000 0.0000  6 Dy 3.48, 6 Tm 3.51-3.55
2 Dy 0.0000 0.3335 0.0000  6 Dy 3.47-3.48, 6 Tm 3.51-3.55
3 Ho 0.0000 0.1668 0.5000  6 Tm 3.43-3.44, 3 Zr 3.47-3.48, 3 Ho 3.48
4 Tm 0.2445 0.3366 0.7447  1 Zr 3.40, 6 Tm 3.41-3.52, 2 Ho 3.43-3.44, 3 Dy 3.51-3.55
5 Tm 0.2455 0.5000 0.2558  1 Zr 3.40, 6 Tm 3.41-3.52, 2 Ho 3.43, 3 Dy 3.52-3.55
6 Zr 0.0000 0.5000 0.5000  6 Tm 3.40, 6 Ho 3.47-3.48

energy of formation from the pure elements: 0.04 eV/atom

Density functional theory data (PBE) for a relaxed HfNb2B2 crystal.

Cell lengths 4.6510, 3.2903, 9.4523 Å; angles 90.00, 98.17, 90.00 degrees
Closest atoms and distances in Å follow each position.
Space group P2_1/m (No. 11)
Symmetry-distinct sites (fractional):
1 Hf 0.1771 0.2500 0.2298  5 B 2.39-2.55
2 Nb 0.2723 0.2500 0.5770  4 B 2.24-2.33
3 Nb 0.3501 0.2500 0.8965  4 B 2.35-2.55
4 B 0.1039 0.7500 0.0216  2 B 1.92
5 B 0.2253 0.7500 0.4153  4 Nb 2.24-2.33, 2 Hf 2.39

energy of formation from the pure elements: -0.48 eV/atom
energy above the lowest structure with this stoichiometry: 0.419 eV/f.u.

Density functional theory data (PBE) for a relaxed Tb5HoGa6 crystal.

Cell lengths 5.0613, 7.1559, 8.0044 Å; angles 90.00, 108.37, 90.00 degrees
Closest atoms and distances in Å follow each position.
Space group P2/m (No. 10)
Symmetry-distinct sites (fractional):
1 Tb 0.0000 0.0000 0.0000  8 Ga 3.10
2 Tb 0.3327 0.0000 0.6653  8 Ga 3.10-3.11
3 Tb 0.3336 0.5000 0.6673  8 Ga 3.09-3.11
4 Ho 0.0000 0.5000 0.0000  8 Ga 3.09-3.10
5 Ga 0.1659 0.2513 0.3319  1 Ho 3.09, 7 Tb 3.09-3.11
6 Ga 0.5000 0.2509 0.0000  6 Tb 3.09-3.11, 2 Ho 3.10

energy of formation from the pure elements: -0.59 eV/atom
energy above the lowest structure with this stoichiometry: 0.000 eV/f.u.

Density functional theory data (PBE) for a relaxed OsPt2AuF crystal.

Cell lengths 4.8839, 4.8839, 3.8981 Å; angles 90.00, 90.00, 90.00 degrees
Closest atoms and distances in Å follow each position.
Space group P4/mmm (No. 123)
Symmetry-distinct sites (fractional):
1 Os 0.0000 0.0000 0.0000  2 F 1.95
2 Pt 0.0000 0.5000 0.0000  2 Os 2.44
3 Au 0.5000 0.5000 0.5000  8 Pt 3.12, 4 F 3.45
4 F 0.0000 0.0000 0.5000  2 Os 1.95

formation energy (no corrections): 0.5948 eV per atom

Density functional theory data (PBE) for a relaxed PrGaAg3 crystal.

Cell lengths 6.0388, 6.0411, 6.6919 Å; angles 90.00, 116.75, 90.00 degrees
Closest atoms and distances in Å follow each position.
Space group Cm (No. 8)
Symmetry-distinct sites (fractional):
1 Pr 0.0000 0.0000 0.0000  4 Ga 3.27-3.28, 8 Ag 3.28-3.55
2 Ga 0.3930 0.0000 0.7873  5 Ag 2.57-2.65
3 Ag 0.0130 0.2502 0.5257  2 Ga 2.65, 2 Ag 2.82
4 Ag 0.1091 0.5000 0.2175  1 Ga 2.57, 4 Ag 2.82

energy of formation from the pure elements: -0.23 eV/atom

Density functional theory data (PBE) for a relaxed Th2Co5C crystal.

Cell lengths 5.4222, 5.4222, 8.1345 Å; angles 90.00, 90.00, 90.00 degrees
Closest atoms and distances in Å follow each position.
Space group I4mm (No. 107)
Symmetry-distinct sites (fractional):
1 Th 0.0000 0.5000 0.0000  10 Co 2.71-2.81
2 Co 0.0000 0.0000 0.0000  1 C 2.00
3 Co 0.2484 0.2484 0.7472  1 C 1.91
4 C 0.0000 0.0000 0.7540  5 Co 1.91-2.00

energy of formation from the pure elements: -0.14 eV/atom

Density functional theory data (PBE) for a relaxed YScCr crystal.

Cell lengths 4.8915, 4.8915, 3.3881 Å; angles 90.00, 90.00, 120.00 degrees
Closest atoms and distances in Å follow each position.
Space group P3m1 (No. 156)
Symmetry-distinct sites (fractional):
1 Y 0.0000 0.0000 0.0000  6 Cr 3.29-3.30, 6 Sc 3.29-3.30, 2 Y 3.39
2 Sc 0.3333 0.6667 0.4983  3 Cr 2.82
3 Cr 0.6667 0.3333 0.5038  3 Sc 2.82

energy of formation from the pure elements: 0.35 eV/atom
energy above the lowest structure with this stoichiometry: 0.258 eV/f.u.